Record 1
Sc3P2N after structural relaxation. Source: Alexandria, functional PBE-GGA.

Geometry as POSCAR:
```
Sc3P2N
1.0
5.7078 -2.6321 0.0000
5.7078 2.6321 0.0000
-2.1030 0.0000 6.5928
Sc P N
6 4 2
direct
0.0477 0.9523 0.7500 Sc
0.3558 0.3584 0.4281 Sc
0.3584 0.3558 0.9281 Sc
0.6416 0.6442 0.0719 Sc
0.6442 0.6416 0.5719 Sc
0.9523 0.0477 0.2500 Sc
0.1700 0.1761 0.0862 P
0.1761 0.1700 0.5862 P
0.8239 0.8300 0.4138 P
0.8300 0.8239 0.9138 P
0.4621 0.5379 0.7500 N
0.5379 0.4621 0.2500 N
```

## Properties
* formation energy (no corrections): -1454 meV/atom
* uncorrected energy: -7.811 eV/atom
* SG: C2/c
* total magnetization: 0.000 μB per formula unit



Record 2
RbHg4Br8 after structural relaxation. Source: Alexandria, functional PBE-GGA.

Geometry as POSCAR:
```
RbHg4Br8
1.0
4.2565 2.4575 8.5387
-4.2565 2.4575 8.5387
0.0000 -4.9149 8.5387
Rb Hg Br
1 4 8
direct
0.0000 0.0000 0.0000 Rb
0.0000 0.0000 0.5000 Hg
0.0000 0.5000 0.0000 Hg
0.5000 0.0000 0.0000 Hg
0.5000 0.5000 0.5000 Hg
0.2068 0.7407 0.7407 Br
0.2287 0.2287 0.2287 Br
0.2593 0.2593 0.7932 Br
0.2593 0.7932 0.2593 Br
0.7407 0.2068 0.7407 Br
0.7407 0.7407 0.2068 Br
0.7713 0.7713 0.7713 Br
0.7932 0.2593 0.2593 Br
```

## Properties
* formation energy (no corrections): -549 meV/atom
* uncorrected energy: -1.746 eV/atom
* SG: R-3m
* total magnetization: 0.000 μB per formula unit



Record 3
MnReSb2 after structural relaxation. Source: Alexandria, functional PBE-GGA.

Geometry as POSCAR:
```
MnReSb2
1.0
3.1259 0.0000 0.0000
0.0000 3.1259 0.0000
0.0000 0.0000 8.3722
Mn Re Sb
1 1 2
direct
0.0000 0.0000 0.0000 Mn
0.5000 0.5000 0.1635 Re
0.0000 0.0000 0.3839 Sb
0.5000 0.5000 0.7938 Sb
```

## Properties
* formation energy (no corrections): 203 meV/atom
* uncorrected energy: -7.262 eV/atom
* SG: P4mm
* ΔE to the lowest computed polymorph: 0.0 meV per atom
* total magnetization: 2.095 μB per formula unit



Record 4
CsTc2PtBr after structural relaxation. Source: Alexandria, functional PBE-GGA.

Geometry as POSCAR:
```
CsTc2PtBr
1.0
5.4592 0.0000 0.0000
0.0000 5.4592 0.0000
0.0000 0.0000 5.1703
Cs Tc Pt Br
1 2 1 1
direct
0.0000 0.0000 0.0000 Cs
0.0000 0.5000 0.0000 Tc
0.5000 0.0000 0.0000 Tc
0.0000 0.0000 0.5000 Pt
0.5000 0.5000 0.5000 Br
```

## Properties
* formation energy (no corrections): 2677 meV/atom
* uncorrected energy: -3.183 eV/atom
* SG: P4/mmm
* total magnetization: 7.354 μB per formula unit



Record 5
Zr2Pd3Pt after structural relaxation. Source: Alexandria, functional PBE-GGA.

Geometry as POSCAR:
```
Zr2Pd3Pt
1.0
6.3094 -2.0208 0.0000
6.3094 2.0208 0.0000
-4.2074 0.0000 8.2781
Zr Pd Pt
4 6 2
direct
0.0157 0.0157 0.3443 Zr
0.2844 0.2844 0.6453 Zr
0.7156 0.7156 0.3547 Zr
0.9843 0.9843 0.6557 Zr
0.1241 0.1241 0.1247 Pd
0.2127 0.2127 0.8845 Pd
0.4608 0.4608 0.1256 Pd
0.5392 0.5392 0.8744 Pd
0.7873 0.7873 0.1155 Pd
0.8759 0.8759 0.8753 Pd
0.3724 0.3724 0.3790 Pt
0.6276 0.6276 0.6210 Pt
```

## Properties
* uncorrected energy: -7.091 eV/atom
* ΔH_f (0 K): -3.8 eV/f.u.
* SG: C2/m
* ΔE to the lowest computed polymorph: 0.0 meV per atom
* total magnetization: 0.000 μB per formula unit



Record 6
Pr2PuRu after structural relaxation. Source: Alexandria, functional PBE-GGA.

Geometry as POSCAR:
```
Pr2PuRu
1.0
1.7858 1.0310 10.7747
-1.7858 1.0310 10.7747
0.0000 -2.0620 10.7747
Pr Pu Ru
2 1 1
direct
0.1050 0.1050 0.1050 Pr
0.8950 0.8950 0.8950 Pr
0.0000 0.0000 0.0000 Pu
0.5000 0.5000 0.5000 Ru
```

## Properties
* uncorrected energy: -7.940 eV/atom
* ΔH_f (0 K): 1.4 eV/f.u.
* SG: R-3m
* ΔE to the lowest computed polymorph: 293.7 meV per atom
* total magnetization: 6.166 μB per formula unit



| no. | D(E_F) (states/eV per cell) |
| --- | --- |
| 1 | 1.51 |
| 2 | 4.25 |
| 3 | 1.52 |
| 4 | 4.32 |
| 5 | 8.49 |
| 6 | 13.38 |